Record 1
The following is a DFT calculation (GGA-PBE) of a relaxed Si2Ru crystal.

a b c (Å): 4.3136 4.3136 5.0265
angles (deg): 90.00 90.00 120.00
Sites, in units of the cell vectors:
Si 0.0000 0.0000 0.0000
Si 0.0000 0.0000 0.5000
Si 0.3333 0.6667 0.2500
Si 0.6667 0.3333 0.7500
Ru 0.6667 0.3333 0.2500
Ru 0.3333 0.6667 0.7500

Crystal system: hexagonal
E_tot (eV/cell): -39.415
Density (Mg/m³): 6.4
E_form (uncorrected) (kJ/mol of atoms): 13.3

Record 2
The following is a DFT calculation (GGA-PBE) of a relaxed Si2Ru3 crystal.

a b c (Å): 4.0106 4.0106 5.0904
angles (deg): 90.00 90.00 120.00
Sites, in units of the cell vectors:
Si 0.6667 0.3333 0.1919
Si 0.3333 0.6667 0.8081
Ru 0.0000 0.0000 0.0000
Ru 0.6667 0.3333 0.6712
Ru 0.3333 0.6667 0.3288

Crystal system: trigonal
E_tot (eV/cell): -40.410
Density (Mg/m³): 8.4
E_form (uncorrected) (kJ/mol of atoms): -33.5

Record 3
The following is a DFT calculation (GGA-PBE) of a relaxed Si4Ru5 crystal.

a b c (Å): 5.9972 5.9972 5.9972
angles (deg): 96.24 96.24 141.51
Sites, in units of the cell vectors:
Si 0.2972 0.0000 0.2972
Si 0.7028 0.0000 0.7028
Si 0.0000 0.7028 0.7028
Si 0.0000 0.2972 0.2972
Ru 0.0000 0.0000 0.0000
Ru 0.3301 0.6699 0.0000
Ru 0.6699 0.3301 0.0000
Ru 0.6699 0.6699 0.3398
Ru 0.3301 0.3301 0.6602

Crystal system: tetragonal
E_tot (eV/cell): -68.946
Density (Mg/m³): 8.1
E_form (uncorrected) (kJ/mol of atoms): -9.4
Distance to the lowest polymorph of the same formula (eV/f.u.): 2.51

Record 4
The following is a DFT calculation (GGA-PBE) of a relaxed Si2Ru crystal.

a b c (Å): 4.6022 4.6022 6.6412
angles (deg): 77.75 77.75 36.67
Sites, in units of the cell vectors:
Si 0.3532 0.3532 0.5419
Si 0.6608 0.6608 0.8986
Si 0.3392 0.3392 0.1014
Si 0.6468 0.6468 0.4581
Ru 0.0453 0.0453 0.2041
Ru 0.9547 0.9547 0.7959

Crystal system: monoclinic
E_tot (eV/cell): -41.909
Density (Mg/m³): 6.4
E_form (uncorrected) (kJ/mol of atoms): -26.8

Record 5
The following is a DFT calculation (GGA-PBE) of a relaxed SiRu3 crystal.

a b c (Å): 4.2939 4.6960 5.3774
angles (deg): 90.00 90.00 90.00
Sites, in units of the cell vectors:
Si 0.0000 0.6500 0.0000
Si 0.5000 0.3500 0.5000
Ru 0.5000 0.3522 0.0000
Ru 0.0000 0.6478 0.5000
Ru 0.0000 0.1510 0.2554
Ru 0.0000 0.1510 0.7446
Ru 0.5000 0.8490 0.7554
Ru 0.5000 0.8490 0.2446

Crystal system: orthorhombic
E_tot (eV/cell): -67.655
Density (Mg/m³): 10.1
E_form (uncorrected) (kJ/mol of atoms): -13.9

Record 6
The following is a DFT calculation (GGA-PBE) of a relaxed Si3Ru crystal.

a b c (Å): 4.7072 4.7072 4.7072
angles (deg): 140.17 122.19 72.50
Sites, in units of the cell vectors:
Ru 0.5000 0.0000 0.5000
Si 0.7606 0.7606 0.0000
Si 0.2394 0.2394 0.0000
Si 0.0000 0.5000 0.5000

Crystal system: orthorhombic
E_tot (eV/cell): -25.182
Density (Mg/m³): 5.6
E_form (uncorrected) (kJ/mol of atoms): 8.8

Record 7
The following is a DFT calculation (GGA-PBE) of a relaxed Si2Ru crystal.

a b c (Å): 14.1651 14.1651 14.1651
angles (deg): 165.88 165.88 20.01
Sites, in units of the cell vectors:
Ru 0.9163 0.9163 0.0000
Ru 0.0837 0.0837 0.0000
Ru 0.1663 0.6663 0.5000
Ru 0.3337 0.8337 0.5000
Si 0.7624 0.7624 0.0000
Si 0.2376 0.2376 0.0000
Si 0.0124 0.5124 0.5000
Si 0.4876 0.9876 0.5000
Si 0.5939 0.5939 0.0000
Si 0.4061 0.4061 0.0000
Si 0.8439 0.3439 0.5000
Si 0.6561 0.1561 0.5000

Crystal system: tetragonal
E_tot (eV/cell): -80.699
Density (Mg/m³): 6.2
E_form (uncorrected) (kJ/mol of atoms): -1.7

Record 8
The following is a DFT calculation (GGA-PBE) of a relaxed SiRu3 crystal.

a b c (Å): 5.0818 5.0818 5.0818
angles (deg): 147.37 129.77 61.19
Sites, in units of the cell vectors:
Ru 0.2794 0.2794 0.0000
Ru 0.7206 0.7206 0.0000
Ru 0.0000 0.5000 0.5000
Si 0.5000 0.0000 0.5000

Crystal system: orthorhombic
E_tot (eV/cell): -34.186
Density (Mg/m³): 10.2
E_form (uncorrected) (kJ/mol of atoms): -22.6

Question: Which of these has the highest density?
Answer: number 8

Question: The lowest E_tot belongs to which entry?
Answer: number 7

Question: What is the E_tot in the sixth record?
Answer: -25.182 eV/cell